(1)
{
  "formula": "Al3Fe2Si",
  "functional": "SCAN",
  "state": "single point on PBEsol structure",
  "lattice_angstrom": [[-2.0549, 3.0673, -6.5644], [-3.7880, -4.1043, -5.0525], [-7.2604, 1.4674, -1.3620]],
  "species": ["Fe", "Fe", "Fe", "Fe", "Fe", "Fe", "Fe", "Fe", "Al", "Al", "Al", "Al", "Al", "Al", "Al", "Al", "Al", "Al", "Al", "Al", "Si", "Si", "Si", "Si"],
  "fractional_positions": [[0.9105, 0.9105, 0.9105], [0.3395, 0.3395, 0.9816], [0.9105, 0.9105, 0.2684], [0.2684, 0.9105, 0.9105], [0.3395, 0.3395, 0.3395], [0.3395, 0.9816, 0.3395], [0.9816, 0.3395, 0.3395], [0.9105, 0.2684, 0.9105], [0.2989, 0.7011, 0.2989], [0.9511, 0.9511, 0.5489], [0.7011, 0.7011, 0.2989], [0.5489, 0.9511, 0.9511], [0.2989, 0.7011, 0.7011], [0.5489, 0.9511, 0.5489], [0.7011, 0.2989, 0.2989], [0.9511, 0.5489, 0.5489], [0.2989, 0.2989, 0.7011], [0.9511, 0.5489, 0.9511], [0.5489, 0.5489, 0.9511], [0.7011, 0.2989, 0.7011], [0.6250, 0.1250, 0.1250], [0.1250, 0.6250, 0.1250], [0.1250, 0.1250, 0.1250], [0.1250, 0.1250, 0.6250]],
  "dft_energy_ev_per_atom": -11.9265,
  "raw_formation_energy_ev_per_atom": -0.338,
  "mass_density_g_cm3": 4.853,
  "magmom_total_mub_per_cell": 3.3
}

(2)
{
  "formula": "AlFe6Si",
  "functional": "SCAN",
  "state": "single point on PBEsol structure",
  "lattice_angstrom": [[6.1680, -0.0061, 0.0000], [-2.0688, 5.8107, 0.0000], [0.0000, 0.0000, 10.0837]],
  "species": ["Fe", "Fe", "Fe", "Fe", "Fe", "Fe", "Fe", "Fe", "Fe", "Fe", "Fe", "Fe", "Fe", "Fe", "Fe", "Fe", "Fe", "Fe", "Fe", "Fe", "Fe", "Fe", "Fe", "Fe", "Al", "Al", "Al", "Al", "Si", "Si", "Si", "Si"],
  "fractional_positions": [[0.6278, 0.8783, 0.6232], [0.2499, 0.7501, 0.7462], [0.8784, 0.6292, 0.8730], [0.3722, 0.1217, 0.6232], [0.0000, 0.0000, 0.5000], [0.1216, 0.3708, 0.1270], [0.3708, 0.1216, 0.8730], [0.0000, 0.0000, 0.0000], [0.1216, 0.3708, 0.8730], [0.1217, 0.3722, 0.6232], [0.3722, 0.1217, 0.3768], [0.8784, 0.6292, 0.1270], [0.6292, 0.8784, 0.8730], [0.2499, 0.7501, 0.2538], [0.5000, 0.5000, 0.5000], [0.3708, 0.1216, 0.1270], [0.7501, 0.2499, 0.7462], [0.8783, 0.6278, 0.3768], [0.6278, 0.8783, 0.3768], [0.6292, 0.8784, 0.1270], [0.8783, 0.6278, 0.6232], [0.7501, 0.2499, 0.2538], [0.1217, 0.3722, 0.3768], [0.5000, 0.5000, 0.0000], [0.2531, 0.7469, 0.0000], [0.7469, 0.2531, 0.0000], [0.5000, 0.5000, 0.7502], [0.5000, 0.5000, 0.2498], [0.2533, 0.7467, 0.5000], [0.7467, 0.2533, 0.5000], [0.0000, 0.0000, 0.2500], [0.0000, 0.0000, 0.7500]],
  "dft_energy_ev_per_atom": -16.1028,
  "raw_formation_energy_ev_per_atom": -0.285,
  "mass_density_g_cm3": 7.173,
  "magmom_total_mub_per_cell": 55.6
}

(3)
{
  "formula": "AlFe3Si",
  "functional": "SCAN",
  "state": "single point on PBEsol structure",
  "lattice_angstrom": [[4.1847, 0.0000, 0.0000], [0.0000, 4.1847, 0.0000], [0.0000, 0.0000, 4.1847]],
  "species": ["Fe", "Fe", "Fe", "Al", "Si"],
  "fractional_positions": [[0.0000, 0.5000, 0.0000], [0.5000, 0.0000, 0.0000], [0.0000, 0.0000, 0.5000], [0.0000, 0.0000, 0.0000], [0.5000, 0.5000, 0.5000]],
  "dft_energy_ev_per_atom": -13.2604,
  "raw_formation_energy_ev_per_atom": 1.171,
  "mass_density_g_cm3": 5.044,
  "magmom_total_mub_per_cell": 6.8
}

(4)
{
  "formula": "AlFe4Si",
  "functional": "SCAN",
  "state": "single point on PBEsol structure",
  "lattice_angstrom": [[4.6341, 0.0000, 0.0000], [2.3171, 4.0133, 0.0000], [2.3171, 1.3378, 3.7838]],
  "species": ["Fe", "Fe", "Fe", "Fe", "Al", "Si"],
  "fractional_positions": [[0.3752, 0.3752, 0.8745], [0.3752, 0.8745, 0.3752], [0.3752, 0.3752, 0.3752], [0.8745, 0.3752, 0.3752], [0.0000, 0.0000, 0.0000], [0.7500, 0.7500, 0.7500]],
  "dft_energy_ev_per_atom": -15.0809,
  "raw_formation_energy_ev_per_atom": -0.033,
  "mass_density_g_cm3": 6.571,
  "magmom_total_mub_per_cell": 8.2
}

(5)
{
  "formula": "AlFeSi",
  "functional": "SCAN",
  "state": "single point on PBEsol structure",
  "lattice_angstrom": [[3.0316, 0.0000, 0.0000], [0.0000, 3.0316, 0.0000], [-1.5158, -1.5158, 3.8986]],
  "species": ["Si", "Al", "Fe"],
  "fractional_positions": [[0.3190, 0.3190, 0.6380], [0.0036, 0.0036, 0.0072], [0.6774, 0.6774, 0.3548]],
  "dft_energy_ev_per_atom": -12.2898,
  "raw_formation_energy_ev_per_atom": -0.324,
  "mass_density_g_cm3": 5.140,
  "magmom_total_mub_per_cell": 1.0
}

(6)
{
  "formula": "Al3FeSi2",
  "functional": "SCAN",
  "state": "single point on PBEsol structure",
  "lattice_angstrom": [[6.0084, 0.0000, 0.0000], [0.0000, 6.0081, 0.0000], [0.0000, 0.0000, 9.4079]],
  "species": ["Al", "Al", "Al", "Al", "Al", "Al", "Al", "Al", "Al", "Al", "Al", "Al", "Fe", "Fe", "Fe", "Fe", "Si", "Si", "Si", "Si", "Si", "Si", "Si", "Si"],
  "fractional_positions": [[0.3629, 0.6292, 0.8661], [0.1371, 0.1292, 0.8661], [0.3629, 0.3708, 0.3661], [0.6371, 0.6292, 0.6339], [0.1371, 0.8708, 0.3661], [0.5000, 0.0000, 0.0000], [0.0000, 0.5000, 0.0000], [0.5000, 0.0000, 0.5000], [0.8629, 0.1292, 0.6339], [0.0000, 0.5000, 0.5000], [0.6371, 0.3708, 0.1339], [0.8629, 0.8708, 0.1339], [0.0000, 0.4852, 0.7500], [0.0000, 0.5148, 0.2500], [0.5000, 0.0148, 0.2500], [0.5000, 0.9852, 0.7500], [0.1658, 0.1764, 0.1563], [0.1658, 0.8236, 0.6563], [0.8342, 0.1764, 0.3437], [0.6658, 0.3236, 0.8437], [0.3342, 0.3236, 0.6563], [0.6658, 0.6764, 0.3437], [0.3342, 0.6764, 0.1563], [0.8342, 0.8236, 0.8437]],
  "dft_energy_ev_per_atom": -10.4298,
  "raw_formation_energy_ev_per_atom": -0.194,
  "mass_density_g_cm3": 3.774,
  "magmom_total_mub_per_cell": 0.3
}

(7)
{
  "formula": "Al3FeSi2",
  "functional": "SCAN",
  "state": "single point on PBEsol structure",
  "lattice_angstrom": [[6.0022, 0.0000, 0.0000], [-3.0011, 5.6092, 0.0040], [0.0000, 3.2078, 5.0732]],
  "species": ["Al", "Al", "Al", "Al", "Al", "Al", "Si", "Si", "Si", "Si", "Fe", "Fe"],
  "fractional_positions": [[0.4833, 0.2896, 0.0167], [0.3064, 0.2896, 0.5167], [0.9978, 0.9956, 0.0022], [0.9833, 0.2896, 0.1936], [0.4978, 0.9956, 0.5022], [0.8064, 0.2896, 0.6936], [0.2067, 0.7080, 0.2933], [0.0013, 0.7080, 0.7933], [0.5013, 0.7080, 0.9987], [0.7067, 0.7080, 0.4987], [0.7545, 0.5091, 0.2455], [0.2545, 0.5091, 0.7455]],
  "dft_energy_ev_per_atom": -10.4106,
  "raw_formation_energy_ev_per_atom": -0.175,
  "mass_density_g_cm3": 3.754,
  "magmom_total_mub_per_cell": 0.1
}

(8)
{
  "formula": "Al2FeSi",
  "functional": "SCAN",
  "state": "single point on PBEsol structure",
  "lattice_angstrom": [[3.6591, 0.0000, 0.0000], [0.0000, 3.6591, 0.0000], [-1.8295, -1.8295, 3.7590]],
  "species": ["Al", "Al", "Fe", "Si"],
  "fractional_positions": [[0.2500, 0.7500, 0.5000], [0.7500, 0.2500, 0.5000], [0.0000, 0.0000, 0.0000], [0.5000, 0.5000, 0.0000]],
  "dft_energy_ev_per_atom": -10.9517,
  "raw_formation_energy_ev_per_atom": -0.039,
  "mass_density_g_cm3": 4.550,
  "magmom_total_mub_per_cell": 1.7
}

(9)
{
  "formula": "Al2Fe3Si3",
  "functional": "SCAN",
  "state": "single point on PBEsol structure",
  "lattice_angstrom": [[-3.6801, 1.3776, -2.3099], [-2.5762, -1.4233, 5.5257], [3.8695, 6.0621, 1.6536]],
  "species": ["Si", "Si", "Si", "Si", "Si", "Si", "Al", "Al", "Al", "Al", "Fe", "Fe", "Fe", "Fe", "Fe", "Fe"],
  "fractional_positions": [[0.4566, 0.5877, 0.6525], [0.7228, 0.9549, 0.4656], [0.8207, 0.0238, 0.1142], [0.2772, 0.0451, 0.5344], [0.1793, 0.9762, 0.8858], [0.5434, 0.4123, 0.3475], [0.9464, 0.3541, 0.7266], [0.4129, 0.6747, 0.0507], [0.5871, 0.3253, 0.9493], [0.0536, 0.6459, 0.2734], [0.6361, 0.9720, 0.7677], [0.0396, 0.2930, 0.4147], [0.1348, 0.3176, 0.0566], [0.3639, 0.0280, 0.2323], [0.8652, 0.6824, 0.9434], [0.9604, 0.7070, 0.5853]],
  "dft_energy_ev_per_atom": -12.8904,
  "raw_formation_energy_ev_per_atom": -0.398,
  "mass_density_g_cm3": 5.327,
  "magmom_total_mub_per_cell": 0.0
}

(10)
{
  "formula": "TbAl9Fe4Si6",
  "functional": "SCAN",
  "state": "single point on PBEsol structure",
  "lattice_angstrom": [[8.5875, 0.0000, 0.0000], [0.0000, 8.5875, 0.0000], [0.0000, 0.0000, 15.0532]],
  "species": ["Al", "Al", "Al", "Al", "Al", "Al", "Al", "Al", "Al", "Al", "Al", "Al", "Al", "Al", "Al", "Al", "Al", "Al", "Al", "Al", "Al", "Al", "Al", "Al", "Al", "Al", "Al", "Al", "Al", "Al", "Al", "Al", "Al", "Al", "Al", "Al", "Si", "Si", "Si", "Si", "Si", "Si", "Si", "Si", "Si", "Si", "Si", "Si", "Si", "Si", "Si", "Si", "Si", "Si", "Si", "Si", "Si", "Si", "Si", "Si", "Fe", "Fe", "Fe", "Fe", "Fe", "Fe", "Fe", "Fe", "Fe", "Fe", "Fe", "Fe", "Fe", "Fe", "Fe", "Fe", "Tb", "Tb", "Tb", "Tb"],
  "fractional_positions": [[0.2040, 0.7540, 0.1690], [0.7460, 0.7040, 0.6690], [0.6557, 0.5000, 0.1023], [0.0000, 0.0000, 0.7730], [0.0000, 0.8443, 0.6023], [0.5000, 0.3443, 0.8977], [0.0000, 0.3168, 0.9110], [0.1832, 0.5000, 0.4110], [0.2540, 0.2960, 0.6690], [0.5000, 0.5000, 0.2730], [0.0000, 0.6832, 0.9110], [0.1557, 0.0000, 0.3977], [0.5000, 0.1832, 0.5890], [0.3168, 0.0000, 0.0890], [0.7040, 0.2540, 0.3310], [0.7460, 0.2960, 0.6690], [0.8168, 0.5000, 0.4110], [0.7040, 0.7460, 0.3310], [0.5000, 0.5000, 0.7270], [0.3443, 0.5000, 0.1023], [0.8443, 0.0000, 0.3977], [0.5000, 0.8168, 0.5890], [0.2540, 0.7040, 0.6690], [0.6832, 0.0000, 0.0890], [0.0000, 0.1557, 0.6023], [0.2460, 0.7960, 0.8310], [0.7540, 0.7960, 0.8310], [0.7960, 0.7540, 0.1690], [0.2960, 0.7460, 0.3310], [0.2460, 0.2040, 0.8310], [0.2040, 0.2460, 0.1690], [0.5000, 0.6557, 0.8977], [0.7540, 0.2040, 0.8310], [0.0000, 0.0000, 0.2270], [0.7960, 0.2460, 0.1690], [0.2960, 0.2540, 0.3310], [0.0000, 0.8429, 0.0565], [0.5000, 0.7611, 0.0612], [0.1383, 0.5000, 0.7791], [0.7389, 0.0000, 0.5612], [0.0000, 0.2611, 0.4388], [0.7611, 0.5000, 0.9388], [0.8429, 0.0000, 0.9435], [0.3617, 0.0000, 0.7209], [0.0000, 0.3617, 0.2791], [0.1571, 0.0000, 0.9435], [0.6571, 0.5000, 0.5565], [0.5000, 0.8617, 0.2209], [0.5000, 0.6571, 0.4435], [0.5000, 0.2389, 0.0612], [0.0000, 0.7389, 0.4388], [0.2389, 0.5000, 0.9388], [0.2611, 0.0000, 0.5612], [0.8617, 0.5000, 0.7791], [0.6383, 0.0000, 0.7209], [0.0000, 0.6383, 0.2791], [0.5000, 0.3429, 0.4435], [0.3429, 0.5000, 0.5565], [0.5000, 0.1383, 0.2209], [0.0000, 0.1571, 0.0565], [0.7552, 0.7552, 0.0000], [0.7221, 0.0000, 0.2497], [0.7779, 0.5000, 0.2503], [0.0000, 0.7221, 0.7503], [0.2448, 0.2448, 0.0000], [0.7448, 0.7448, 0.5000], [0.2779, 0.0000, 0.2497], [0.5000, 0.7779, 0.7497], [0.2448, 0.7552, 0.0000], [0.2221, 0.5000, 0.2503], [0.2552, 0.7448, 0.5000], [0.0000, 0.2779, 0.7503], [0.7448, 0.2552, 0.5000], [0.7552, 0.2448, 0.0000], [0.5000, 0.2221, 0.7497], [0.2552, 0.2552, 0.5000], [0.5000, 0.0000, 0.9139], [0.5000, 0.0000, 0.4139], [0.0000, 0.5000, 0.5861], [0.0000, 0.5000, 0.0861]],
  "dft_energy_ev_per_atom": -12.7985,
  "raw_formation_energy_ev_per_atom": -0.341,
  "mass_density_g_cm3": 4.749,
  "magmom_total_mub_per_cell": 0.0
}

(11)
{
  "formula": "TiAl2FeSi",
  "functional": "SCAN",
  "state": "single point on PBEsol structure",
  "lattice_angstrom": [[4.0448, 0.0000, 0.0000], [0.0000, 4.5668, 0.0000], [0.0000, 0.0000, 4.5668]],
  "species": ["Al", "Al", "Ti", "Fe", "Si"],
  "fractional_positions": [[0.0000, 0.0000, 0.5000], [0.0000, 0.5000, 0.0000], [0.5000, 0.5000, 0.5000], [0.5000, 0.0000, 0.0000], [0.0000, 0.0000, 0.0000]],
  "dft_energy_ev_per_atom": -11.1959,
  "raw_formation_energy_ev_per_atom": 0.740,
  "mass_density_g_cm3": 3.657,
  "magmom_total_mub_per_cell": 0.0
}

(12)
{
  "formula": "SmAl9Fe3",
  "functional": "SCAN",
  "state": "single point on PBEsol structure",
  "lattice_angstrom": [[-2.7772, -4.2182, -0.3576], [-0.1376, -2.3265, -6.2937], [3.7426, -5.5869, 0.9946]],
  "species": ["Al", "Al", "Al", "Al", "Al", "Al", "Al", "Al", "Al", "Sm", "Fe", "Fe", "Fe"],
  "fractional_positions": [[0.3543, 0.6624, 0.6453], [0.2896, 0.2152, 0.2274], [0.0000, 0.5000, 0.0000], [0.5170, 0.2152, 0.7726], [0.6457, 0.3376, 0.3547], [0.4830, 0.7848, 0.2274], [0.7104, 0.7848, 0.7726], [0.9996, 0.6624, 0.3547], [0.0004, 0.3376, 0.6453], [0.0000, 0.0000, 0.0000], [0.5000, 0.5000, 0.0000], [0.5000, 0.0000, 0.5000], [0.0000, 0.0000, 0.5000]],
  "dft_energy_ev_per_atom": -13.3788,
  "ef_ev_per_atom": -0.4097,
  "mass_density_g_cm3": 4.668,
  "magmom_total_mub_per_cell": 4.9
}

What is the formula in the first record? Al3Fe2Si

Number 4 is which compound? AlFe4Si

What did the sixth record say?
{
  "formula": "Al3FeSi2",
  "functional": "SCAN",
  "state": "single point on PBEsol structure",
  "lattice_angstrom": [[6.0084, 0.0000, 0.0000], [0.0000, 6.0081, 0.0000], [0.0000, 0.0000, 9.4079]],
  "species": ["Al", "Al", "Al", "Al", "Al", "Al", "Al", "Al", "Al", "Al", "Al", "Al", "Fe", "Fe", "Fe", "Fe", "Si", "Si", "Si", "Si", "Si", "Si", "Si", "Si"],
  "fractional_positions": [[0.3629, 0.6292, 0.8661], [0.1371, 0.1292, 0.8661], [0.3629, 0.3708, 0.3661], [0.6371, 0.6292, 0.6339], [0.1371, 0.8708, 0.3661], [0.5000, 0.0000, 0.0000], [0.0000, 0.5000, 0.0000], [0.5000, 0.0000, 0.5000], [0.8629, 0.1292, 0.6339], [0.0000, 0.5000, 0.5000], [0.6371, 0.3708, 0.1339], [0.8629, 0.8708, 0.1339], [0.0000, 0.4852, 0.7500], [0.0000, 0.5148, 0.2500], [0.5000, 0.0148, 0.2500], [0.5000, 0.9852, 0.7500], [0.1658, 0.1764, 0.1563], [0.1658, 0.8236, 0.6563], [0.8342, 0.1764, 0.3437], [0.6658, 0.3236, 0.8437], [0.3342, 0.3236, 0.6563], [0.6658, 0.6764, 0.3437], [0.3342, 0.6764, 0.1563], [0.8342, 0.8236, 0.8437]],
  "dft_energy_ev_per_atom": -10.4298,
  "raw_formation_energy_ev_per_atom": -0.194,
  "mass_density_g_cm3": 3.774,
  "magmom_total_mub_per_cell": 0.3
}